Compound: InCoAsSe2
Source: Alexandria via LeMat-Bulk
Functional: PBEsol
Structure: optimized geometry

Raw formation energy ... 0.15 eV/atom
Electronic total energy ... -22.75 eV/cell
Density ... 6.58 Mg/m³
SG ... No. 123

Cell: 4.9100 4.9100 4.2585 Å, 90.00 90.00 90.00°
Positions (direct):
In: 0.0000 0.0000 0.0000
Co: 0.5000 0.5000 0.5000
As: 0.5000 0.5000 0.0000
Se: 0.0000 0.5000 0.5000
Se: 0.5000 0.0000 0.5000


Compound: CoAs2Ir
Source: Alexandria via LeMat-Bulk
Functional: PBEsol
Structure: optimized geometry

Energy of formation ... 273 meV/atom
Electronic total energy ... -26.68 eV/cell
ΔE to the lowest computed polymorph ... 0.238 eV/atom
Density ... 10.63 Mg/m³
SG ... No. 35

Cell: 2.7683 2.7683 9.4130 Å, 90.00 90.00 119.70°
Positions (direct):
Co: 0.0000 0.0000 0.0000
As: 0.0000 0.0000 0.4526
As: 0.5000 0.5000 0.7992
Ir: 0.5000 0.5000 0.2264


Compound: Co2AsIr
Source: Alexandria via LeMat-Bulk
Functional: PBEsol
Structure: optimized geometry

Energy of formation ... 90 meV/atom
Electronic total energy ... -30.05 eV/cell
Density ... 13.09 Mg/m³
SG ... No. 123

Cell: 2.7306 2.7306 6.5494 Å, 90.00 90.00 90.00°
Positions (direct):
Co: 0.0000 0.0000 0.2370
Co: 0.0000 0.0000 0.7630
As: 0.5000 0.5000 0.0000
Ir: 0.5000 0.5000 0.5000


Compound: Co2AsIr
Source: Alexandria via LeMat-Bulk
Functional: PBEsol
Structure: optimized geometry

Energy of formation ... 47 meV/atom
Electronic total energy ... -30.22 eV/cell
Density ... 13.18 Mg/m³
SG ... No. 119

Cell: 4.4048 4.4048 4.4048 Å, 130.32 130.32 72.89°
Positions (direct):
Co: 0.0000 0.0000 0.0000
Co: 0.7500 0.2500 0.5000
As: 0.2500 0.7500 0.5000
Ir: 0.5000 0.5000 0.0000